The following is a PBE calculation of crystalline ScPSO2 at its relaxed geometry, from the Alexandria database.

**Space group**: P4/mmm, No. 123
**Formation energy from raw total energies**: -3.6 eV per formula unit

a = 3.850 Å, b = 3.850 Å, c = 6.495 Å
α = 90.00°, β = 90.00°, γ = 90.00°
Site moments in Bohr magnetons follow the coordinates.
Fractional coordinates of all 5 atoms:
Sc 0.000 0.000 0.000  -0.05
P 0.000 0.000 0.500  0.01
S 0.500 0.500 0.500  0.00
O 0.000 0.500 0.000  0.50
O 0.500 0.000 0.000  0.50



The following is a PBE calculation of crystalline MgZnHRh2 at its relaxed geometry, from the Alexandria database.

**Raw total energy**: -22.36 eV/f.u.
**Space group**: P4/mmm, No. 123

a = 4.056 Å, b = 4.056 Å, c = 3.696 Å
α = 90.00°, β = 90.00°, γ = 90.00°
Fractional coordinates of all 5 atoms:
H 0.000 0.000 0.000
Zn 0.000 0.000 0.500
Rh 0.000 0.500 0.000
Rh 0.500 0.000 0.000
Mg 0.500 0.500 0.500



The following is a PBE calculation of crystalline Tl4InBr2 at its relaxed geometry, from the Alexandria database.

**Space group**: I4/mmm, No. 139
**Formation energy from raw total energies**: -1.1 eV per formula unit

a = 5.748 Å, b = 5.748 Å, c = 9.663 Å
α = 72.70°, β = 72.70°, γ = 90.00°
Fractional coordinates of all 7 atoms:
Tl 0.816 0.816 0.368
Tl 0.184 0.184 0.632
Tl 0.000 0.500 0.000
Tl 0.500 0.000 0.000
Br 0.623 0.623 0.755
Br 0.377 0.377 0.245
In 0.000 0.000 0.000



Q: Number 1 is which compound?
A: ScPSO2